1.
VASP calculation (GGA-PBE) on an optimized crystal structure of BaMgZn. Values from VASP.

```
&SYSTEM
  ibrav = 0, nat = 6, ntyp = 3
/
ATOMIC_SPECIES
Ba 137.33 Ba.upf
Mg 24.30 Mg.upf
Zn 65.41 Zn.upf
CELL_PARAMETERS angstrom
7.359 -2.238 0.000
7.359 2.238 0.000
-1.996 0.000 5.882
ATOMIC_POSITIONS crystal
Ba 0.117 0.117 0.307
Ba 0.883 0.883 0.693
Mg 0.407 0.407 0.228
Mg 0.593 0.593 0.772
Zn 0.222 0.222 0.887
Zn 0.778 0.778 0.113
```

Summary:
The calculation puts the volume at 32.3 A^3/atom. The calculation puts the density of states at the Fermi level at 0.84 states/eV per atom. As for the space-group type: C2/m (12). The calculation puts the energy of formation from the pure elements at -0.37 eV/f.u.

***

2.
VASP calculation (GGA-PBE) on an optimized crystal structure of Ba2Mg12Zn7. Values from VASP.

```
&SYSTEM
  ibrav = 0, nat = 21, ntyp = 3
/
ATOMIC_SPECIES
Ba 137.33 Ba.upf
Mg 24.30 Mg.upf
Zn 65.41 Zn.upf
CELL_PARAMETERS angstrom
11.394 0.000 0.000
-5.697 9.867 0.000
0.000 0.000 4.352
ATOMIC_POSITIONS crystal
Ba 0.000 0.000 0.000
Ba 0.333 0.667 0.500
Mg 0.046 0.285 0.500
Mg 0.098 0.715 0.000
Mg 0.239 0.954 0.500
Mg 0.285 0.384 0.000
Mg 0.390 0.180 0.000
Mg 0.544 0.430 0.500
Mg 0.570 0.115 0.500
Mg 0.616 0.902 0.000
Mg 0.715 0.761 0.500
Mg 0.790 0.610 0.000
Mg 0.820 0.210 0.000
Mg 0.885 0.456 0.500
Zn 0.069 0.456 0.000
Zn 0.256 0.216 0.500
Zn 0.387 0.931 0.000
Zn 0.544 0.613 0.000
Zn 0.667 0.333 0.000
Zn 0.784 0.040 0.500
Zn 0.960 0.744 0.500
```

Summary:
The calculation puts the volume at 23.3 A^3/atom. The calculation puts the density of states at the Fermi level at 0.48 states/eV per atom. As for the space-group type: P-6 (174). The calculation puts the energy of formation from the pure elements at -2.44 eV/f.u.

***

3.
VASP calculation (GGA-PBE) on an optimized crystal structure of BaMg2Zn2. Values from VASP.

```
&SYSTEM
  ibrav = 0, nat = 5, ntyp = 3
/
ATOMIC_SPECIES
Ba 137.33 Ba.upf
Mg 24.30 Mg.upf
Zn 65.41 Zn.upf
CELL_PARAMETERS angstrom
-2.560 2.560 5.207
2.560 -2.560 5.207
2.560 2.560 -5.207
ATOMIC_POSITIONS crystal
Ba 0.000 0.000 0.000
Mg 0.357 0.357 0.000
Mg 0.643 0.643 0.000
Zn 0.250 0.750 0.500
Zn 0.750 0.250 0.500
```

Summary:
The calculation puts the volume at 27.3 A^3/atom. The offset from the most stable computed form comes out at 79 meV/atom. The calculation puts the density of states at the Fermi level at 0.72 states/eV per atom. As for the space-group type: I4/mmm (139). The calculation puts the energy of formation from the pure elements at -0.37 eV/f.u.

***

4.
VASP calculation (GGA-PBE) on an optimized crystal structure of BaMgZn2. Values from VASP.

```
&SYSTEM
  ibrav = 0, nat = 8, ntyp = 3
/
ATOMIC_SPECIES
Ba 137.33 Ba.upf
Mg 24.30 Mg.upf
Zn 65.41 Zn.upf
CELL_PARAMETERS angstrom
4.629 0.000 0.000
0.000 7.727 0.000
0.000 0.000 6.300
ATOMIC_POSITIONS crystal
Ba 0.250 0.250 0.117
Ba 0.750 0.750 0.883
Mg 0.250 0.750 0.357
Mg 0.750 0.250 0.643
Zn 0.250 0.047 0.608
Zn 0.250 0.453 0.608
Zn 0.750 0.547 0.392
Zn 0.750 0.953 0.392
```

Summary:
The calculation puts the volume at 28.2 A^3/atom. The calculation puts the density of states at the Fermi level at 0.65 states/eV per atom. As for the space-group type: Pmmn (59). The calculation puts the energy of formation from the pure elements at -0.59 eV/f.u.

***

5.
VASP calculation (GGA-PBE) on an optimized crystal structure of BaMg6Zn6. Values from VASP.

```
&SYSTEM
  ibrav = 0, nat = 13, ntyp = 3
/
ATOMIC_SPECIES
Ba 137.33 Ba.upf
Mg 24.30 Mg.upf
Zn 65.41 Zn.upf
CELL_PARAMETERS angstrom
-2.747 4.892 4.925
2.747 -4.892 4.925
2.747 4.892 -4.925
ATOMIC_POSITIONS crystal
Ba 0.000 0.000 0.000
Mg 0.208 0.500 0.708
Mg 0.351 0.351 0.000
Mg 0.354 0.000 0.354
Mg 0.646 0.000 0.646
Mg 0.649 0.649 0.000
Mg 0.792 0.500 0.292
Zn 0.000 0.000 0.500
Zn 0.000 0.500 0.000
Zn 0.230 0.730 0.500
Zn 0.500 0.000 0.000
Zn 0.500 0.500 0.500
Zn 0.770 0.270 0.500
```

Summary:
The calculation puts the volume at 20.4 A^3/atom. The calculation puts the density of states at the Fermi level at 0.40 states/eV per atom. As for the space-group type: Immm (71). The calculation puts the energy of formation from the pure elements at -1.65 eV/f.u.

***

6.
VASP calculation (GGA-PBE) on an optimized crystal structure of BaMgZn2. Values from VASP.

```
&SYSTEM
  ibrav = 0, nat = 4, ntyp = 3
/
ATOMIC_SPECIES
Ba 137.33 Ba.upf
Mg 24.30 Mg.upf
Zn 65.41 Zn.upf
CELL_PARAMETERS angstrom
3.966 -2.290 0.000
3.966 2.290 0.000
-2.661 0.000 6.175
ATOMIC_POSITIONS crystal
Ba 0.000 0.000 0.000
Mg 0.811 0.811 0.433
Zn 0.200 0.200 0.598
Zn 0.530 0.530 0.588
```

Summary:
The calculation puts the volume at 28.0 A^3/atom. The calculation puts the density of states at the Fermi level at 0.68 states/eV per atom. As for the space-group type: Cm (8). The calculation puts the energy of formation from the pure elements at -0.56 eV/f.u.

***

7.
VASP calculation (GGA-PBE) on an optimized crystal structure of Ba3MgZn3. Values from VASP.

```
&SYSTEM
  ibrav = 0, nat = 14, ntyp = 3
/
ATOMIC_SPECIES
Ba 137.33 Ba.upf
Mg 24.30 Mg.upf
Zn 65.41 Zn.upf
CELL_PARAMETERS angstrom
2.456 -6.134 0.000
2.456 6.134 0.000
0.000 0.000 15.638
ATOMIC_POSITIONS crystal
Ba 0.002 0.998 0.750
Ba 0.281 0.719 0.104
Ba 0.281 0.719 0.396
Ba 0.719 0.281 0.604
Ba 0.719 0.281 0.896
Ba 0.998 0.002 0.250
Mg 0.000 0.000 0.000
Mg 0.000 0.000 0.500
Zn 0.306 0.694 0.750
Zn 0.431 0.569 0.588
Zn 0.431 0.569 0.912
Zn 0.569 0.431 0.088
Zn 0.569 0.431 0.412
Zn 0.694 0.306 0.250
```

Summary:
The calculation puts the volume at 33.7 A^3/atom. The calculation puts the density of states at the Fermi level at 0.80 states/eV per atom. As for the space-group type: Cmcm (63). The calculation puts the energy of formation from the pure elements at -0.99 eV/f.u.

***

8.
VASP calculation (GGA-PBE) on an optimized crystal structure of BaMgZn2. Values from VASP.

```
&SYSTEM
  ibrav = 0, nat = 16, ntyp = 3
/
ATOMIC_SPECIES
Ba 137.33 Ba.upf
Mg 24.30 Mg.upf
Zn 65.41 Zn.upf
CELL_PARAMETERS angstrom
7.768 0.000 0.000
0.000 7.034 0.000
0.000 0.000 8.032
ATOMIC_POSITIONS crystal
Ba 0.015 0.250 0.150
Ba 0.485 0.750 0.650
Ba 0.515 0.250 0.350
Ba 0.985 0.750 0.850
Mg 0.161 0.750 0.307
Mg 0.339 0.250 0.807
Mg 0.661 0.750 0.193
Mg 0.839 0.250 0.693
Zn 0.147 0.069 0.547
Zn 0.147 0.431 0.547
Zn 0.353 0.569 0.047
Zn 0.353 0.931 0.047
Zn 0.647 0.069 0.953
Zn 0.647 0.431 0.953
Zn 0.853 0.569 0.453
Zn 0.853 0.931 0.453
```

Summary:
The calculation puts the volume at 27.4 A^3/atom. The calculation puts the density of states at the Fermi level at 0.61 states/eV per atom. As for the space-group type: Pnma (62). The calculation puts the energy of formation from the pure elements at -0.60 eV/f.u.

***

Total DFT energy (no corrections) / eV/atom: -1.72 -1.64 -1.61 -1.66 -1.60 -1.66 -1.74 -1.67